# 1
## Pm2SmY9 (PBE)

Data for crystalline Pm2SmY9 at its relaxed geometry.

Calculated values
Energy ... -6.011 eV/atom
Energy of formation ... 22 meV/atom

Structure (CIF):
```
data_Pm2SmY9
_chemical_formula_sum 'Pm2 Sm1 Y9'
_space_group_name_H-M_alt 'P 4/m m m'
_space_group_IT_number 123
_space_group_name_Hall '-P 4 2'
_cell_length_a 5.076
_cell_length_b 5.076
_cell_length_c 15.222
_cell_angle_alpha 90.00
_cell_angle_beta 90.00
_cell_angle_gamma 90.00
loop_
_atom_site_label
_atom_site_fract_x
_atom_site_fract_y
_atom_site_fract_z
_atom_site_occupancy
Pm1 0.000 0.000 0.167 1
Sm1 0.000 0.000 0.500 1
Y1 0.000 0.500 0.000 1
Y2 0.000 0.500 0.334 1
Y3 0.500 0.500 0.167 1
Y4 0.500 0.500 0.500 1
```

# 2
## Pm6SmY3 (PBE)

Data for crystalline Pm6SmY3 at its relaxed geometry.

Calculated values
Offset from the most stable computed form ... 11 meV/atom
Energy ... -5.125 eV/atom
Energy of formation ... 136 meV/atom

Structure (CIF):
```
data_Pm6SmY3
_chemical_formula_sum 'Pm24 Sm4 Y12'
_space_group_name_H-M_alt 'C m c 21'
_space_group_IT_number 36
_cell_length_a 11.180
_cell_length_b 19.462
_cell_length_c 6.250
_cell_angle_alpha 90.00
_cell_angle_beta 90.00
_cell_angle_gamma 90.00
loop_
_space_group_symop_operation_xyz
'x,y,z'
'-x,-y,z+1/2'
'-x,y,z'
'x,-y,z+1/2'
'x+1/2,y+1/2,z'
'-x+1/2,-y+1/2,z+1/2'
'-x+1/2,y+1/2,z'
'x+1/2,-y+1/2,z+1/2'
loop_
_atom_site_label
_atom_site_fract_x
_atom_site_fract_y
_atom_site_fract_z
_atom_site_occupancy
Pm1 0.000 0.042 0.000 1
Pm2 0.000 0.280 0.723 1
Pm3 0.166 0.457 0.623 1
Pm4 0.238 0.290 0.457 1
Sm1 0.000 0.200 0.202 1
Y1 0.000 0.386 0.160 1
Y2 0.170 0.112 0.549 1
```

# 3
## PmSm8Y3 (PBE)

Data for crystalline PmSm8Y3 at its relaxed geometry.

Calculated values
Energy ... -4.553 eV/atom
Energy of formation ... 605 meV/atom

Structure (CIF):
```
data_PmSm8Y3
_chemical_formula_sum 'Pm2 Sm16 Y6'
_space_group_name_H-M_alt 'I -4 2 m'
_space_group_IT_number 121
_space_group_name_Hall 'I -4 2'
_cell_length_a 8.764
_cell_length_b 8.764
_cell_length_c 11.492
_cell_angle_alpha 90.00
_cell_angle_beta 90.00
_cell_angle_gamma 90.00
loop_
_atom_site_label
_atom_site_fract_x
_atom_site_fract_y
_atom_site_fract_z
_atom_site_occupancy
Pm1 0.000 0.000 0.000 1
Sm1 0.124 0.124 0.750 1
Sm2 0.250 0.250 0.498 1
Y1 0.000 0.000 0.500 1
Y2 0.000 0.500 0.250 1
```

Please write out number 1 again, unchanged.
## Pm2SmY9 (PBE)

Data for crystalline Pm2SmY9 at its relaxed geometry.

Calculated values
Energy ... -6.011 eV/atom
Energy of formation ... 22 meV/atom

Structure (CIF):
```
data_Pm2SmY9
_chemical_formula_sum 'Pm2 Sm1 Y9'
_space_group_name_H-M_alt 'P 4/m m m'
_space_group_IT_number 123
_space_group_name_Hall '-P 4 2'
_cell_length_a 5.076
_cell_length_b 5.076
_cell_length_c 15.222
_cell_angle_alpha 90.00
_cell_angle_beta 90.00
_cell_angle_gamma 90.00
loop_
_atom_site_label
_atom_site_fract_x
_atom_site_fract_y
_atom_site_fract_z
_atom_site_occupancy
Pm1 0.000 0.000 0.167 1
Sm1 0.000 0.000 0.500 1
Y1 0.000 0.500 0.000 1
Y2 0.000 0.500 0.334 1
Y3 0.500 0.500 0.167 1
Y4 0.500 0.500 0.500 1
```